(1)
## CuSnI3 (PBE)

Data for crystalline CuSnI3 at its relaxed geometry.

extended XYZ file:
```
5
Lattice="5.440 0.000 0.000 0.000 5.440 0.000 0.000 0.000 5.440" Properties=species:S:1:pos:R:3 pbc="T T T"
Cu 0.000 0.000 0.000
Sn 2.720 2.720 2.720
I 0.000 0.000 2.720
I 0.000 2.720 0.000
I 2.720 0.000 0.000
```

***

(2)
## Cu2Sn2I (PBE)

Data for crystalline Cu2Sn2I at its relaxed geometry.

extended XYZ file:
```
10
Lattice="8.360 0.000 0.000 0.000 8.360 0.000 0.000 0.000 3.406" Properties=species:S:1:pos:R:3 pbc="T T T"
Cu 0.876 3.304 0.000
Cu 3.304 7.484 0.000
Cu 5.056 0.876 0.000
Cu 7.484 5.056 0.000
Sn 1.521 5.701 1.703
Sn 2.659 1.521 1.703
Sn 5.701 6.839 1.703
Sn 6.839 2.659 1.703
I 0.000 0.000 1.703
I 4.180 4.180 1.703
```

***

(3)
## Cu2Sn2I (PBE)

Data for crystalline Cu2Sn2I at its relaxed geometry.

extended XYZ file:
```
5
Lattice="-2.386 2.386 5.322 2.386 -2.386 5.322 2.386 2.386 -5.322" Properties=species:S:1:pos:R:3 pbc="T T T"
Cu 0.000 0.000 1.284
Cu 0.000 0.000 9.360
Sn 2.386 0.000 2.661
Sn 0.000 2.386 2.661
I 0.000 0.000 5.322
```

***

(4)
## Cu2Sn2I (PBE)

Data for crystalline Cu2Sn2I at its relaxed geometry.

extended XYZ file:
```
10
Lattice="7.893 0.000 0.000 0.000 7.893 0.000 0.000 0.000 3.644" Properties=species:S:1:pos:R:3 pbc="T T T"
Cu 0.951 2.995 0.000
Cu 2.995 6.942 0.000
Cu 4.898 0.951 0.000
Cu 6.942 4.898 0.000
Sn 1.216 5.163 1.822
Sn 2.730 1.216 1.822
Sn 5.163 6.677 1.822
Sn 6.677 2.730 1.822
I 0.000 0.000 0.000
I 3.947 3.947 0.000
```

***

(5)
## CuSnI3 (PBE)

Data for crystalline CuSnI3 at its relaxed geometry.

extended XYZ file:
```
10
Lattice="4.447 0.000 0.000 0.000 12.765 3.572 0.000 -12.765 3.572" Properties=species:S:1:pos:R:3 pbc="T T T"
Cu 1.112 -9.782 3.572
Cu 3.335 9.782 3.572
Sn 1.112 -4.179 4.221
Sn 3.335 4.179 4.221
I 1.112 -7.278 2.657
I 1.112 2.621 2.601
I 1.112 -1.876 6.216
I 3.335 -2.621 2.601
I 3.335 7.278 2.657
I 3.335 1.876 6.216
```

***

(6)
## Cu2SnI4 (PBE)

Data for crystalline Cu2SnI4 at its relaxed geometry.

extended XYZ file:
```
7
Lattice="4.369 0.000 0.000 -0.003 7.711 0.000 -2.172 -1.012 7.837" Properties=species:S:1:pos:R:3 pbc="T T T"
Cu 0.004 0.116 1.372
Cu 2.190 6.584 6.465
Sn 2.183 3.856 0.000
I -0.001 2.602 1.973
I 0.009 0.160 6.039
I 2.185 6.539 1.798
I 2.194 4.097 5.864
```

***

| no. | formation energy without anion corrections (meV per atom) | distance to the lowest polymorph of the same formula (eV/atom) |
| --- | --- | --- |
| 1 | 34 | 0.374 |
| 2 | 295 | 0.063 |
| 3 | 263 | 0.032 |
| 4 | 232 | 0.000 |
| 5 | -340 | 0.000 |
| 6 | -266 | 0.000 |